# 1
VASP calculation (PBE) on CeEr2Fe2 after structural relaxation.

Unit cell a=6.1306 b=6.1306 c=7.3902 alpha=106.94 beta=106.94 gamma=56.09
Last column: nearest neighbours and their distance in Å.
Fractional positions:
1 Ce 0.0217 0.9783 0.7500  2 Fe 2.19
2 Ce 0.9783 0.0217 0.2500  2 Fe 2.19
3 Er 0.2337 0.4453 0.3589  4 Fe 2.83-2.94
4 Er 0.4453 0.2337 0.8589  4 Fe 2.83-2.94
5 Er 0.5547 0.7663 0.1411  4 Fe 2.83-2.94
6 Er 0.7663 0.5547 0.6411  4 Fe 2.83-2.94
7 Fe 0.0158 0.2978 0.9839  1 Ce 2.19, 1 Fe 2.32
8 Fe 0.2978 0.0158 0.4839  1 Ce 2.19, 1 Fe 2.32
9 Fe 0.7022 0.9842 0.5161  1 Ce 2.19, 1 Fe 2.32
10 Fe 0.9842 0.7022 0.0161  1 Ce 2.19, 1 Fe 2.32

Calculated values
For the mass density, the calculation gives 8949 kg/m3. Its uncorrected energy is -32.5 eV/f.u. Its total magnetization is 0.00 μB per cell. As for the energy of formation: -98.0 meV/atom.

---

# 2
VASP calculation (PBE) on CeEr3Fe8 after structural relaxation.

Unit cell a=8.8462 b=8.8462 c=8.8462 alpha=33.38 beta=33.38 gamma=33.38
Last column: nearest neighbours and their distance in Å.
Fractional positions:
1 Ce 0.0000 0.0000 0.0000  12 Fe 2.97-3.01, 4 Er 3.10-3.18
2 Er 0.3740 0.3740 0.3740  12 Fe 2.99-3.02, 1 Er 3.09, 3 Ce 3.10
3 Er 0.4975 0.4975 0.4975  12 Fe 2.96-3.00, 4 Er 3.09-3.12
4 Er 0.8731 0.8731 0.8731  12 Fe 2.97-2.98, 3 Er 3.12, 1 Ce 3.18
5 Fe 0.1880 0.1880 0.1880  6 Fe 2.50-2.58
6 Fe 0.4355 0.4355 0.9347  6 Fe 2.50-2.54
7 Fe 0.4355 0.9347 0.4355  6 Fe 2.50-2.54
8 Fe 0.4366 0.9368 0.9368  6 Fe 2.54-2.60
9 Fe 0.6843 0.6843 0.6843  6 Fe 2.53-2.60
10 Fe 0.9347 0.4355 0.4355  6 Fe 2.50-2.54
11 Fe 0.9368 0.4366 0.9368  6 Fe 2.54-2.60
12 Fe 0.9368 0.9368 0.4366  6 Fe 2.54-2.60

Calculated values
For the mass density, the calculation gives 9690 kg/m3. Its uncorrected energy is -88.2 eV/f.u. Its total magnetization is 4.62 μB per cell. As for the energy of formation: -74.8 meV/atom.

---

# 3
VASP calculation (PBE) on CeErFe4 after structural relaxation.

Unit cell a=5.1268 b=5.1268 c=5.1268 alpha=60.00 beta=60.00 gamma=60.00
Last column: nearest neighbours and their distance in Å.
Fractional positions:
1 Ce 0.0000 0.0000 0.0000  12 Fe 3.01, 4 Er 3.14
2 Er 0.7500 0.7500 0.7500  12 Fe 3.01, 4 Ce 3.14
3 Fe 0.3749 0.3749 0.3749  6 Fe 2.56-2.57
4 Fe 0.3749 0.3749 0.8754  6 Fe 2.56-2.57
5 Fe 0.3749 0.8754 0.3749  6 Fe 2.56-2.57
6 Fe 0.8754 0.3749 0.3749  6 Fe 2.56-2.57

Calculated values
For the mass density, the calculation gives 9249 kg/m3. Its uncorrected energy is -44.9 eV/f.u. Its total magnetization is 6.77 μB per cell. As for the energy of formation: -89.2 meV/atom.

---

# 4
VASP calculation (PBE) on CeErFe after structural relaxation.

Unit cell a=4.0268 b=4.0268 c=4.9464 alpha=90.00 beta=90.00 gamma=120.00
Last column: nearest neighbours and their distance in Å.
Fractional positions:
1 Ce 0.0000 0.0000 0.0000  3 Fe 2.32
2 Er 0.3333 0.6667 0.5000  6 Ce 3.39, 6 Fe 3.39
3 Fe 0.6667 0.3333 0.0000  3 Ce 2.32

Calculated values
For the mass density, the calculation gives 8683 kg/m3. As for the excess energy over the best structure of this formula in the dataset: 0.49 eV/f.u. Its uncorrected energy is -18.7 eV/f.u. Its total magnetization is 0.00 μB per cell. As for the energy of formation: 71.5 meV/atom.